4
Lattice="-4.730 -1.258 -0.451 -1.279 -3.750 -2.907 -1.626 -4.197 1.975" Properties=species:S:1:pos:R:3 comment="DyHfHgRh | Alexandria | GGA-PBE | optimized geometry" dos_ef_per_ev_cell=3.36 e_form_kj_per_mol_fu=-156 vol_a3_per_cell=84 pbc="T T T"
Rh -1.909 -2.301 -0.346
Hf -3.817 -4.602 -0.692
Dy 0.000 0.000 0.000
Hg -5.726 -6.903 -1.038

---

4
Lattice="-0.789 4.432 -2.158 -3.626 0.514 -3.393 -4.102 2.620 1.108" Properties=species:S:1:pos:R:3 comment="DyHfZnHg | Alexandria | GGA-PBE | optimized geometry" dos_ef_per_ev_cell=3.64 e_form_kj_per_mol_fu=-57 vol_a3_per_cell=88 pbc="T T T"
Zn 0.000 0.000 0.000
Dy -6.388 5.675 -3.332
Hf -2.129 1.892 -1.111
Hg -4.259 3.783 -2.222

---

4
Lattice="-0.526 3.249 -0.298 -3.036 1.129 -0.656 -3.258 2.105 10.378" Properties=species:S:1:pos:R:3 comment="DyHoHf2 | Alexandria | GGA-PBE | optimized geometry" dos_ef_per_ev_cell=5.57 e_form_kj_per_mol_fu=72 vol_a3_per_cell=103 pbc="T T T"
Hf -5.113 4.862 7.063
Hf -1.706 1.621 2.361
Ho -3.409 3.241 4.712
Dy 0.000 0.000 0.000

---

4
Lattice="4.804 0.000 0.000 0.000 4.638 0.000 0.000 0.000 4.638" Properties=species:S:1:pos:R:3 comment="DyHoHf2 | Alexandria | GGA-PBE | optimized geometry" dos_ef_per_ev_cell=4.83 e_form_kj_per_mol_fu=72 vol_a3_per_cell=103 pbc="T T T"
Hf 0.000 0.000 2.319
Dy 2.402 2.319 2.319
Ho 2.402 0.000 0.000
Hf 0.000 2.319 0.000

---

3
Lattice="-2.405 1.602 -1.709 1.702 -0.489 -2.853 -3.184 -6.949 1.266" Properties=species:S:1:pos:R:3 comment="DyHoHf | Alexandria | GGA-PBE | optimized geometry" dos_ef_per_ev_cell=4.18 e_form_kj_per_mol_fu=33 vol_a3_per_cell=83 pbc="T T T"
Ho -0.083 -0.150 -0.024
Hf -1.528 -1.569 -2.619
Dy -2.277 -4.116 -0.653

---

6
Lattice="4.716 -0.001 -0.002 0.000 3.365 -0.273 0.003 -2.527 10.626" Properties=species:S:1:pos:R:3 comment="DyHoHf | Alexandria | GGA-PBE | optimized geometry" dos_ef_per_ev_cell=8.97 e_form_kj_per_mol_fu=35 vol_a3_per_cell=165 pbc="T T T"
Dy 1.638 1.540 5.109
Hf 3.997 0.261 10.199
Hf 1.639 -1.539 8.906
Dy 3.995 -0.290 3.369
Ho 1.637 1.244 1.384
Ho 3.996 0.005 7.095

---

3
Lattice="3.376 0.000 0.000 0.000 5.312 0.000 0.000 -2.656 4.600" Properties=species:S:1:pos:R:3 comment="DyHoHf | Alexandria | GGA-PBE | optimized geometry" dos_ef_per_ev_cell=5.63 e_form_kj_per_mol_fu=57 vol_a3_per_cell=83 pbc="T T T"
Dy 0.564 0.000 0.000
Ho 2.250 2.656 1.533
Hf 0.562 0.000 3.067

---

6
Lattice="-3.028 2.312 2.626 -3.343 -2.935 -1.270 1.823 -4.824 6.348" Properties=species:S:1:pos:R:3 comment="DyHoHf | Alexandria | GGA-PBE | optimized geometry" dos_ef_per_ev_cell=8.35 e_form_kj_per_mol_fu=63 vol_a3_per_cell=175 pbc="T T T"
Dy -0.214 -2.283 5.839
Hf 0.000 0.000 0.000
Ho -0.368 -4.916 3.903
Hf -3.185 -0.312 0.678
Dy -1.148 -2.853 1.188
Ho -0.994 -0.219 3.123

---

6
Lattice="2.036 -2.221 8.677 -0.400 -3.092 -1.364 8.543 1.049 12.076" Properties=species:S:1:pos:R:3 comment="DyHoHf | Alexandria | GGA-PBE | optimized geometry" dos_ef_per_ev_cell=9.01 e_form_kj_per_mol_fu=27 vol_a3_per_cell=168 pbc="T T T"
Hf 4.139 -4.267 9.579
Hf 7.381 -0.078 11.875
Ho 8.702 -2.652 17.325
Ho 2.818 -1.693 4.128
Dy 7.963 -2.840 13.715
Dy 3.557 -1.505 7.739

---

8
Lattice="-0.925 3.116 0.597 -5.461 -1.778 0.813 -0.764 -1.284 5.517" Properties=species:S:1:pos:R:3 comment="DyHoHf2N4 | Alexandria | GGA-PBE | optimized geometry" dos_ef_per_ev_cell=3.05 total_energy_ev_per_atom=-9.60 vol_a3_per_cell=103 pbc="T T T"
N -4.874 -0.129 2.269
N -2.277 0.184 4.659
Hf -0.764 -1.284 5.517
N -4.796 -2.329 4.719
Ho -3.113 -1.531 3.165
Hf -0.845 0.916 3.057
Dy -3.193 0.669 0.705
N -2.355 2.383 2.208

---

8
Lattice="-1.192 2.819 -1.432 -0.019 -2.663 -5.228 -5.183 -0.859 2.625" Properties=species:S:1:pos:R:3 comment="Dy2HoHfN4 | Alexandria | GGA-PBE | optimized geometry" dos_ef_per_ev_cell=1.04 total_energy_ev_per_atom=-8.90 vol_a3_per_cell=110 pbc="T T T"
N -1.803 0.590 -1.326
Dy -2.601 -1.761 -1.302
N -4.591 -1.291 -2.709
Ho -0.606 0.078 -3.330
N -3.952 -1.295 0.741
N -1.250 -2.227 -3.344
Hf 0.000 0.000 0.000
Dy -3.187 0.980 0.597

---

8
Lattice="3.908 0.000 0.000 0.000 6.776 0.129 0.000 -2.357 6.357" Properties=species:S:1:pos:R:3 comment="Dy2HoHfP4 | Alexandria | GGA-PBE | optimized geometry" dos_ef_per_ev_cell=1.43 e_form_kj_per_mol_fu=-1186 vol_a3_per_cell=170 pbc="T T T"
Dy 0.000 2.210 3.243
P 1.954 3.370 4.954
Dy 1.954 -1.179 3.178
Ho 1.954 3.388 0.065
P 1.954 1.049 1.532
P 0.000 4.556 1.635
Hf 0.000 0.000 0.000
P 0.000 -0.136 4.851

---

8
Lattice="4.294 0.000 0.000 0.000 7.440 0.139 0.000 -2.589 6.975" Properties=species:S:1:pos:R:3 comment="DyHo2HfSb4 | Alexandria | GGA-PBE | optimized geometry" dos_ef_per_ev_cell=1.31 total_energy_ev_per_atom=-5.96 vol_a3_per_cell=224 pbc="T T T"
Ho 2.147 -1.295 3.488
Sb 2.147 1.153 1.700
Sb 0.000 -0.145 5.301
Ho 0.000 2.425 3.557
Sb 2.147 3.697 5.414
Dy 2.147 3.720 0.070
Hf 0.000 0.000 0.000
Sb 0.000 4.995 1.814

---

8
Lattice="-1.320 -3.294 -2.425 2.717 -4.784 5.020 -7.077 1.589 1.693" Properties=species:S:1:pos:R:3 comment="Dy2HoHfSb4 | Alexandria | GGA-PBE | optimized geometry" dos_ef_per_ev_cell=1.31 total_energy_ev_per_atom=-5.97 vol_a3_per_cell=225 pbc="T T T"
Hf 0.000 0.000 0.000
Sb -1.693 -2.409 0.386
Sb -4.693 0.033 2.509
Sb 0.334 -3.228 4.204
Dy -4.198 -0.853 -0.366
Dy -2.180 -1.598 3.357
Sb -3.986 -4.080 3.902
Ho 0.699 -4.039 1.297

---

6
Lattice="4.635 0.595 1.156 2.831 3.718 1.156 4.535 2.620 14.563" Properties=species:S:1:pos:R:3 comment="DyHfI | Alexandria | GGA-PBE | optimized geometry" dos_ef_per_ev_cell=4.44 total_energy_ev_per_atom=-5.54 vol_a3_per_cell=205 pbc="T T T"
Hf 6.041 3.490 4.556
Dy 11.248 6.498 15.935
I 6.429 3.714 12.557
Dy 7.770 4.489 7.158
I 5.123 2.960 8.224
Hf 0.975 0.563 1.662

---

4
Lattice="3.489 0.000 0.000 1.744 3.021 0.000 1.744 1.007 11.226" Properties=species:S:1:pos:R:3 comment="Dy2HfI | Alexandria | GGA-PBE | optimized geometry" dos_ef_per_ev_cell=5.66 total_energy_ev_per_atom=-4.96 vol_a3_per_cell=118 pbc="T T T"
Dy 5.233 3.021 3.083
Hf 0.000 0.000 0.000
Dy 1.744 1.007 8.143
I 3.489 2.014 5.613

---

4
Lattice="-0.921 0.221 3.225 -1.820 -2.806 -0.328 7.441 -5.116 2.475" Properties=species:S:1:pos:R:3 comment="Dy2HfIn | Alexandria | GGA-PBE | optimized geometry" dos_ef_per_ev_cell=3.64 e_form_kj_per_mol_fu=-60 vol_a3_per_cell=106 pbc="T T T"
Hf 2.350 -3.851 2.686
Dy 5.580 -3.837 1.856
Dy 1.860 -1.279 0.619
In -1.371 -1.293 1.448

---

16
Lattice="4.828 0.000 0.000 0.000 4.828 0.000 0.000 0.000 19.540" Properties=species:S:1:pos:R:3 comment="Dy12HfIn3 | Alexandria | GGA-PBE | optimized geometry" dos_ef_per_ev_cell=17.93 e_form_kj_per_mol_fu=-268 vol_a3_per_cell=456 pbc="T T T"
Dy 2.414 0.000 2.407
Dy 2.414 0.000 17.134
Dy 0.000 2.414 2.407
Dy 0.000 2.414 7.330
Dy 2.414 0.000 7.330
Dy 2.414 2.414 14.636
Dy 2.414 2.414 0.000
In 0.000 0.000 14.597
In 0.000 0.000 9.770
Dy 0.000 2.414 12.210
Hf 0.000 0.000 0.000
In 0.000 0.000 4.943
Dy 2.414 0.000 12.210
Dy 2.414 2.414 4.905
Dy 2.414 2.414 9.770
Dy 0.000 2.414 17.134

---

10
Lattice="3.762 0.000 0.000 0.000 3.762 0.000 0.000 0.000 18.086" Properties=species:S:1:pos:R:3 comment="Dy4HfIn5 | Alexandria | GGA-PBE | optimized geometry" dos_ef_per_ev_cell=6.86 e_form_kj_per_mol_fu=-345 vol_a3_per_cell=256 pbc="T T T"
In 1.881 1.881 12.788
Hf 0.000 0.000 0.000
Dy 0.000 0.000 3.417
In 1.881 1.881 1.581
In 1.881 1.881 5.297
Dy 0.000 0.000 10.927
In 1.881 1.881 9.043
In 1.881 1.881 16.505
Dy 0.000 0.000 14.669
Dy 0.000 0.000 7.159

---

4
Lattice="3.348 0.000 0.000 1.674 2.899 0.000 1.674 0.966 10.265" Properties=species:S:1:pos:R:3 comment="DyHfIn2 | Alexandria | GGA-PBE | optimized geometry" dos_ef_per_ev_cell=4.74 e_form_kj_per_mol_fu=-45 vol_a3_per_cell=100 pbc="T T T"
In 1.674 0.966 2.456
Hf 0.000 0.000 0.000
In 5.022 2.899 7.808
Dy 3.348 1.933 5.132